Material: NiP3
Method: DFT, PBE
State: relaxed

POSCAR file:
```
NiP3
1.0
2.8878 0.0000 0.0000
0.0000 2.8878 0.0000
0.0000 0.0000 6.2557
Ni P
1 3
direct
0.0000 0.0000 0.0000
0.0000 0.0000 0.5000
0.5000 0.5000 0.2302
0.5000 0.5000 0.7698
```

## Properties
Distance to the lowest polymorph of the same formula = 682.7 meV per atom
DFT formation energy = 0.381 eV per atom
Total magnetization = 0.00 μB per cell

=====

Material: KPHS2
Method: DFT, PBE
State: relaxed

POSCAR file:
```
KPHS2
1.0
6.2935 0.0000 0.0000
0.0000 6.2935 0.0000
0.0000 0.0000 7.2975
K P H S
1 1 1 2
direct
0.0000 0.0000 0.0000
0.0000 0.0000 0.5000
0.5000 0.5000 0.5000
0.0000 0.5000 0.0000
0.5000 0.0000 0.0000
```

## Properties
Distance to the lowest polymorph of the same formula = 1264.4 meV per atom
Total magnetization = 7.00 μB per cell

=====

Material: Pm2Sm3Ni2
Method: DFT, PBE
State: relaxed

POSCAR file:
```
Pm2Sm3Ni2
1.0
6.1268 -1.8586 0.0000
6.1268 1.8586 0.0000
-3.8855 0.0000 8.2411
Pm Sm Ni
2 3 2
direct
0.1661 0.1661 0.3081
0.8339 0.8339 0.6919
0.3843 0.3843 0.0697
0.5000 0.5000 0.5000
0.6157 0.6157 0.9303
0.1670 0.1670 0.7337
0.8330 0.8330 0.2663
```

## Properties
DFT formation energy = -0.196 eV per atom
Total magnetization = 0.00 μB per cell

=====

Material: RbCrTe3
Method: DFT, PBE
State: relaxed

POSCAR file:
```
RbCrTe3
1.0
6.1286 -3.6437 0.0000
6.1286 3.6437 0.0000
-4.0454 0.0000 8.0938
Rb Cr Te
2 2 6
direct
0.1242 0.1242 0.3717
0.8758 0.8758 0.6283
0.3320 0.3320 0.0033
0.6680 0.6680 0.9967
0.0673 0.5721 0.2113
0.4279 0.9327 0.7887
0.4291 0.4291 0.7892
0.5709 0.5709 0.2108
0.5721 0.0673 0.2113
0.9327 0.4279 0.7887
```

## Properties
Distance to the lowest polymorph of the same formula = 0.0 meV per atom
Total magnetization = 3.18 μB per cell
Raw formation energy = -0.360 eV/atom

=====

Material: Ac4SbP2
Method: DFT, PBE
State: relaxed

POSCAR file:
```
Ac4SbP2
1.0
2.2516 -7.2849 0.0000
2.2516 7.2849 0.0000
0.0000 0.0000 14.9414
Ac Sb P
8 2 4
direct
0.0000 0.0000 0.0000
0.0000 0.0000 0.5000
0.2688 0.7312 0.6166
0.2688 0.7312 0.8834
0.4385 0.5615 0.2500
0.5615 0.4385 0.7500
0.7312 0.2688 0.1166
0.7312 0.2688 0.3834
0.1072 0.8928 0.2500
0.8928 0.1072 0.7500
0.3636 0.6364 0.0607
0.3636 0.6364 0.4393
0.6364 0.3636 0.5607
0.6364 0.3636 0.9393
```

## Properties
Total magnetization = 1.27 μB per cell
Raw formation energy = -1.164 eV/atom